[1]
DFT (PBE) results for an optimized crystal structure of Sc2BeC.

For the calculated formation energy, the calculation gives 349.1 meV/atom.

It has space group Fm-3m (No. 225), with a = 5.975 Å, b = 5.975 Å, c = 5.975 Å, α = 90.00°, β = 90.00° and γ = 90.00°. Symmetry generates all atoms from Sc at (0.250, 0.250, 0.250), Be at (0.000, 0.000, 0.000) and C at (0.000, 0.000, 0.500).

[2]
DFT (PBE) results for an optimized crystal structure of AsPb2Se.

The energy relative to the elements, uncorrected is 1 kJ/mol of atoms.

It has space group Imm2 (No. 44), with a = 3.653 Å, b = 5.243 Å, c = 11.445 Å, α = 90.00°, β = 90.00° and γ = 90.00°. Symmetry generates all atoms from As at (0.000, 0.000, 0.000), Pb at (0.000, 0.000, 0.500), Pb at (0.000, 0.500, 0.716) and Se at (0.000, 0.500, 0.215).

[3]
DFT (PBE) results for an optimized crystal structure of Pu2Be4Ge3Au.

For the calculated formation energy, the calculation gives -280.6 meV/atom.

It has space group P-4m2 (No. 115), with a = 4.020 Å, b = 4.020 Å, c = 9.736 Å, α = 90.00°, β = 90.00° and γ = 90.00°. Symmetry generates all atoms from Pu at (0.000, 0.500, 0.239), Be at (0.000, 0.000, 0.000), Be at (0.000, 0.500, 0.636), Be at (0.500, 0.500, 0.000), Ge at (0.000, 0.500, 0.871), Ge at (0.500, 0.500, 0.500) and Au at (0.000, 0.000, 0.500).

[4]
DFT (PBE) results for an optimized crystal structure of CaIn3.

For the calculated formation energy, the calculation gives -231.4 meV/atom.

It has space group Imm2 (No. 44), with a = 3.691 Å, b = 10.796 Å, c = 5.570 Å, α = 90.00°, β = 90.00° and γ = 90.00°. Symmetry generates all atoms from Ca at (0.000, 0.000, 0.000), In at (0.000, 0.247, 0.635) and In at (0.000, 0.500, 0.997).

[5]
DFT (PBE) results for an optimized crystal structure of Ca6MgSi2.

The energy relative to the elements, uncorrected is -26 kJ/mol of atoms.

It has space group Immm (No. 71), with a = 9.956 Å, b = 10.203 Å, c = 10.929 Å, α = 90.00°, β = 90.00° and γ = 90.00°. Symmetry generates all atoms from Ca at (0.000, 0.191, 0.177), Ca at (0.185, 0.217, 0.500), Ca at (0.209, 0.500, 0.257), Mg at (0.000, 0.500, 0.000), Mg at (0.000, 0.500, 0.500), Si at (0.000, 0.000, 0.389) and Si at (0.138, 0.000, 0.000).

[6]
DFT (PBE) results for an optimized crystal structure of RhC3.

For the calculated formation energy, the calculation gives 736.0 meV/atom.

It has space group Cm (No. 8), with a = 6.743 Å, b = 2.591 Å, c = 4.987 Å, α = 90.00°, β = 109.95° and γ = 90.00°. Symmetry generates all atoms from Rh at (0.000, 0.000, 0.000), C at (0.115, 0.000, 0.419), C at (0.143, 0.500, 0.562) and C at (0.180, 0.500, 0.871).

[7]
DFT (PBE) results for an optimized crystal structure of NbNi2BiW.

For the calculated formation energy, the calculation gives 1505.4 meV/atom.

It has space group P4/mmm (No. 123), with a = 4.514 Å, b = 4.514 Å, c = 5.206 Å, α = 90.00°, β = 90.00° and γ = 90.00°. Symmetry generates all atoms from Nb at (0.000, 0.000, 0.000), Ni at (0.000, 0.500, 0.500), Bi at (0.500, 0.500, 0.000) and W at (0.500, 0.500, 0.500).

[8]
DFT (PBE) results for an optimized crystal structure of W3Br.

The energy relative to the elements, uncorrected is 130 kJ/mol of atoms.

It has space group Pm-3n (No. 223), with a = 5.126 Å, b = 5.126 Å, c = 5.126 Å, α = 90.00°, β = 90.00° and γ = 90.00°. Symmetry generates all atoms from W at (0.000, 0.250, 0.500) and Br at (0.000, 0.000, 0.000).

[9]
DFT (PBE) results for an optimized crystal structure of MnNb2Al.

For the calculated formation energy, the calculation gives 127.1 meV/atom.

It has space group R-3m (No. 166, hexagonal axes), with a = 2.9948 Å, b = 2.9948 Å, c = 25.3310 Å, α = 90.00°, β = 90.00° and γ = 120.00°. Symmetry generates all atoms from Mn at (0.0000, 0.0000, 0.0000), Nb at (0.0000, 0.0000, 0.2587) and Al at (0.0000, 0.0000, 0.5000).

[10]
DFT (PBE) results for an optimized crystal structure of TcNiBr2.

The energy relative to the elements, uncorrected is 77 kJ/mol of atoms.

It has space group C2/m (No. 12), with a = 6.412 Å, b = 8.145 Å, c = 3.325 Å, α = 90.00°, β = 111.82° and γ = 90.00°. Symmetry generates all atoms from Tc at (0.000, 0.000, 0.000), Ni at (0.000, 0.500, 0.000) and Br at (0.250, 0.250, 0.000).

[11]
DFT (PBE) results for an optimized crystal structure of Ta2CuIr.

For the calculated formation energy, the calculation gives -246.5 meV/atom.

It has space group P4/mmm (No. 123), with a = 3.976 Å, b = 3.976 Å, c = 3.953 Å, α = 90.00°, β = 90.00° and γ = 90.00°. Symmetry generates all atoms from Ta at (0.000, 0.500, 0.000), Cu at (0.000, 0.000, 0.500) and Ir at (0.500, 0.500, 0.500).

[12]
DFT (PBE) results for an optimized crystal structure of LaCd2TeN.

The energy relative to the elements, uncorrected is -39 kJ/mol of atoms.

It has space group P4/mmm (No. 123), with a = 4.843 Å, b = 4.843 Å, c = 5.024 Å, α = 90.00°, β = 90.00° and γ = 90.00°. Symmetry generates all atoms from La at (0.000, 0.000, 0.000), Cd at (0.000, 0.500, 0.500), Te at (0.500, 0.500, 0.000) and N at (0.000, 0.000, 0.500).

[13]
DFT (PBE) results for an optimized crystal structure of Cs4Pu6Cl19.

The energy relative to the elements, uncorrected is -190 kJ/mol of atoms.

It has space group I23 (No. 197), with a = 12.846 Å, b = 12.846 Å, c = 12.846 Å, α = 90.00°, β = 90.00° and γ = 90.00°. Symmetry generates all atoms from Cs at (0.152, 0.152, 0.848), Pu at (0.000, 0.337, 0.500), Cl at (0.000, 0.000, 0.000), Cl at (0.000, 0.000, 0.358) and Cl at (0.039, 0.326, 0.287).

[14]
DFT (PBE) results for an optimized crystal structure of Pm5Nd2Mg.

For the calculated formation energy, the calculation gives -1.3 meV/atom.

It has space group I4/mmm (No. 139), with a = 7.193 Å, b = 7.193 Å, c = 10.211 Å, α = 90.00°, β = 90.00° and γ = 90.00°. Symmetry generates all atoms from Pm at (0.000, 0.000, 0.000), Pm at (0.250, 0.250, 0.250), Nd at (0.000, 0.500, 0.000) and Mg at (0.000, 0.000, 0.500).

[15]
DFT (PBE) results for an optimized crystal structure of SbC5.

The energy relative to the elements, uncorrected is 339 kJ/mol of atoms.

It has space group P6/mmm (No. 191), with a = 3.7116 Å, b = 3.7116 Å, c = 6.9239 Å, α = 90.00°, β = 90.00° and γ = 120.00°. Symmetry generates all atoms from Sb at (0.0000, 0.0000, 0.0000), C at (0.0000, 0.5000, 0.5000) and C at (0.3333, 0.6667, 0.0000).

[16]
DFT (PBE) results for an optimized crystal structure of SbTeW.

The energy relative to the elements, uncorrected is 133 kJ/mol of atoms.

It has space group F-43m (No. 216), with a = 6.756 Å, b = 6.756 Å, c = 6.756 Å, α = 90.00°, β = 90.00° and γ = 90.00°. Symmetry generates all atoms from Sb at (0.000, 0.000, 0.000), Te at (0.250, 0.250, 0.250) and W at (0.250, 0.250, 0.750).

[17]
DFT (PBE) results for an optimized crystal structure of FeNi2Os.

For the calculated formation energy, the calculation gives 123.9 meV/atom.

It has space group P4/mmm (No. 123), with a = 2.584 Å, b = 2.584 Å, c = 7.305 Å, α = 90.00°, β = 90.00° and γ = 90.00°. Symmetry generates all atoms from Fe at (0.000, 0.000, 0.000), Ni at (0.500, 0.500, 0.244) and Os at (0.000, 0.000, 0.500).

[18]
DFT (PBE) results for an optimized crystal structure of Mg3Pd2Rh2.

For the calculated formation energy, the calculation gives -428.0 meV/atom.

It has space group Cmmm (No. 65), with a = 3.115 Å, b = 23.082 Å, c = 3.089 Å, α = 90.00°, β = 90.00° and γ = 90.00°. Symmetry generates all atoms from Mg at (0.000, 0.000, 0.000), Mg at (0.000, 0.135, 0.000), Pd at (0.000, 0.299, 0.500) and Rh at (0.000, 0.433, 0.500).

[19]
DFT (PBE) results for an optimized crystal structure of Li2TmBiO4.

The energy relative to the elements, uncorrected is -204 kJ/mol of atoms.

It has space group C2/c (No. 15), with a = 8.931 Å, b = 10.131 Å, c = 6.487 Å, α = 90.00°, β = 133.22° and γ = 90.00°. Symmetry generates all atoms from Li at (0.000, 0.000, 0.000), Li at (0.250, 0.250, 0.000), Tm at (0.250, 0.250, 0.500), Bi at (0.000, 0.500, 0.000), O at (0.013, 0.263, 0.021) and O at (0.233, 0.027, 0.495).

[20]
DFT (PBE) results for an optimized crystal structure of RbNaSn2Br6.

The energy relative to the elements, uncorrected is -108 kJ/mol of atoms.

It has space group R3 (No. 146, hexagonal axes), with a = 7.8256 Å, b = 7.8256 Å, c = 21.1239 Å, α = 90.00°, β = 90.00° and γ = 120.00°. Symmetry generates all atoms from Rb at (0.0000, 0.0000, 0.0000), Na at (0.0000, 0.0000, 0.4814), Sn at (0.0000, 0.0000, 0.2807), Sn at (0.0000, 0.0000, 0.7896), Br at (0.0107, 0.5906, 0.0501) and Br at (0.0269, 0.3375, 0.8779).

| no. | Fermi-level density of states (states/eV/cell) |
| --- | --- |
| 1 | 5.9 |
| 2 | 4.0 |
| 3 | 18.8 |
| 4 | 5.1 |
| 5 | 31.0 |
| 6 | 2.0 |
| 7 | 7.7 |
| 8 | 6.8 |
| 9 | 10.7 |
| 10 | 6.3 |
| 11 | 2.6 |
| 12 | 2.5 |
| 13 | 152.0 |
| 14 | 14.1 |
| 15 | 5.3 |
| 16 | 12.1 |
| 17 | 5.0 |
| 18 | 10.0 |
| 19 | 0.0 |
| 20 | 0.0 |